No. 1
This record from the Alexandria database describes a geometry-optimized Y2MoPt structure. The functional is PBE.

Values from the calculation:
energy of formation = -102 meV/atom
SG = P4mm (99)
E = -0.2775 hartree per atom
energy relative to the lowest polymorph listed for this composition = 0.214 eV per atom

Cell: 3.2737 3.2737 8.6515 Å, 90.00 90.00 90.00°
Closest atoms and distances in Å follow each position.
Fractional positions:
Mo 0.0000 0.0000 0.5459  4 Pt 2.70
Pt 0.5000 0.5000 0.7075  4 Mo 2.70
Y 0.0000 0.0000 0.9406  4 Pt 3.07, 4 Y 3.27, 1 Mo 3.42
Y 0.5000 0.5000 0.3059  4 Mo 3.11, 4 Y 3.27, 1 Pt 3.47



No. 2
This record from the Alexandria database describes a geometry-optimized Sr2Sn3Pt2 structure. The functional is PBE.

Values from the calculation:
energy of formation = -645 meV/atom
SG = Cmcm (63)
E = -0.1678 hartree per atom
energy relative to the lowest polymorph listed for this composition = 0.061 eV per atom

Cell: 4.6852 7.6771 10.2697 Å, 90.00 103.19 90.00°
Closest atoms and distances in Å follow each position.
Fractional positions:
Sr 0.1614 0.2500 0.3228  6 Pt 3.22-3.39, 6 Sn 3.24-3.33
Sr 0.8386 0.7500 0.6772  6 Pt 3.22-3.39, 6 Sn 3.24-3.33
Sr 0.9414 0.2500 0.8827  9 Sn 3.36-3.72
Sr 0.0586 0.7500 0.1173  9 Sn 3.36-3.72
Sn 0.2266 0.7500 0.4533  6 Pt 2.81-2.84
Sn 0.7734 0.2500 0.5467  6 Pt 2.81-2.84
Sn 0.5671 0.4356 0.1342  1 Pt 2.74, 2 Sn 2.85-2.86
Sn 0.4329 0.5644 0.8658  1 Pt 2.74, 2 Sn 2.85-2.86
Sn 0.4329 0.9356 0.8658  1 Pt 2.74, 2 Sn 2.85-2.86
Sn 0.5671 0.0644 0.1342  1 Pt 2.74, 2 Sn 2.85-2.86
Pt 0.6959 0.9439 0.3918  4 Sn 2.74-2.84, 1 Pt 2.98
Pt 0.3041 0.0561 0.6082  4 Sn 2.74-2.84, 1 Pt 2.98
Pt 0.3041 0.4439 0.6082  4 Sn 2.74-2.84, 1 Pt 2.98
Pt 0.6959 0.5561 0.3918  4 Sn 2.74-2.84, 1 Pt 2.98



No. 3
This record from the Alexandria database describes a geometry-optimized BaMoP2Os structure. The functional is PBE.

Values from the calculation:
energy of formation = 1096 meV/atom
SG = P4/mmm (123)
E = -0.2155 hartree per atom
energy relative to the lowest polymorph listed for this composition = 1.710 eV per atom

Cell: 4.6102 6.1207 4.6102 Å, 90.00 90.00 90.00°
Closest atoms and distances in Å follow each position.
Fractional positions:
P 0.0000 0.0000 0.5000  2 Os 2.31
P 0.5000 0.0000 0.0000  2 Os 2.31
Mo 0.5000 0.5000 0.5000  4 Ba 3.26
Os 0.0000 0.0000 0.0000  4 P 2.31
Ba 0.0000 0.5000 0.0000  2 Os 3.06, 4 Mo 3.26



No. 4
This record from the Alexandria database describes a geometry-optimized SiNi2Ge structure. The functional is PBE.

Values from the calculation:
energy relative to the elements, uncorrected = -77 meV/atom
SG = I-42d (122)
E = -0.2013 hartree per atom

Cell: 3.7782 3.7782 8.1926 Å, 76.67 76.67 90.00°
Closest atoms and distances in Å follow each position.
Fractional positions:
Ni 0.6140 0.1250 0.2500  2 Si 2.34, 2 Ge 2.37, 2 Ni 2.61
Ni 0.1360 0.6250 0.2500  2 Si 2.34, 2 Ge 2.37, 2 Ni 2.61
Ni 0.3750 0.3860 0.7500  2 Si 2.34, 2 Ge 2.37, 2 Ni 2.61
Ni 0.8750 0.8640 0.7500  2 Si 2.34, 2 Ge 2.37, 2 Ni 2.61
Ge 0.0000 0.0000 0.0000  4 Ni 2.37
Ge 0.7500 0.2500 0.5000  4 Ni 2.37
Si 0.5000 0.5000 0.0000  4 Ni 2.34
Si 0.2500 0.7500 0.5000  4 Ni 2.34



No. 5
This record from the Alexandria database describes a geometry-optimized Pr7Dy3Mg structure. The functional is PBE.

Values from the calculation:
energy of formation = 222 meV/atom
SG = C2/m (12)
E = -0.1551 hartree per atom
energy relative to the lowest polymorph listed for this composition = 0.047 eV per atom

Cell: 6.5011 7.8254 7.8254 Å, 83.79 92.56 92.56°
Closest atoms and distances in Å follow each position.
Fractional positions:
Pr 0.2146 0.2409 0.2409  5 Pr 3.40-3.58, 1 Mg 3.45, 3 Dy 3.46-3.50
Pr 0.2611 0.9068 0.5682  7 Pr 3.47-3.84, 3 Dy 3.59-3.78, 1 Mg 3.70
Pr 0.7389 0.4318 0.0932  7 Pr 3.47-3.84, 3 Dy 3.59-3.78, 1 Mg 3.70
Pr 0.2611 0.5682 0.9068  7 Pr 3.47-3.84, 3 Dy 3.59-3.78, 1 Mg 3.70
Pr 0.0000 0.5000 0.5000  2 Mg 3.25, 6 Pr 3.40-3.62, 2 Dy 3.52
Pr 0.7389 0.0932 0.4318  7 Pr 3.47-3.84, 3 Dy 3.59-3.78, 1 Mg 3.70
Pr 0.7854 0.7591 0.7591  5 Pr 3.40-3.58, 1 Mg 3.45, 3 Dy 3.46-3.50
Dy 0.0000 0.8367 0.1633  3 Dy 3.41-3.67, 7 Pr 3.50-3.61
Dy 0.5000 0.0000 0.0000  6 Pr 3.46-3.78, 4 Dy 3.67
Dy 0.0000 0.1633 0.8367  3 Dy 3.41-3.67, 7 Pr 3.50-3.61
Mg 0.5000 0.5000 0.5000  4 Pr 3.25-3.45



No. 6
This record from the Alexandria database describes a geometry-optimized SrNd3Dy2Te6 structure. The functional is PBE.

Values from the calculation:
energy relative to the elements, uncorrected = -1410 meV/atom
SG = C2/m (12)
E = -0.1867 hartree per atom

Cell: 4.4568 9.0371 10.0424 Å, 103.76 102.82 90.00°
Closest atoms and distances in Å follow each position.
Fractional positions:
Sr 0.5000 0.0000 0.0000  6 Te 3.19-3.24
Nd 0.5000 0.5000 0.0000  6 Te 3.16-3.20
Nd 0.8388 0.1818 0.6776  6 Te 3.17-3.29
Nd 0.1612 0.8182 0.3224  6 Te 3.17-3.29
Dy 0.8306 0.6605 0.6612  6 Te 3.07-3.18
Dy 0.1694 0.3395 0.3388  6 Te 3.07-3.18
Te 0.3292 0.9101 0.6584  2 Dy 3.18, 3 Nd 3.19-3.29, 1 Sr 3.24
Te 0.6682 0.5733 0.3364  3 Dy 3.07-3.08, 3 Nd 3.17-3.20
Te 0.6708 0.0899 0.3416  2 Dy 3.18, 3 Nd 3.19-3.29, 1 Sr 3.24
Te 0.0065 0.2562 0.0131  1 Dy 3.09, 3 Nd 3.16-3.19, 2 Sr 3.19
Te 0.9935 0.7438 0.9869  1 Dy 3.09, 3 Nd 3.16-3.19, 2 Sr 3.19
Te 0.3318 0.4267 0.6636  3 Dy 3.07-3.08, 3 Nd 3.17-3.20



No. 7
This record from the Alexandria database describes a geometry-optimized SrEuDySbO6 structure. The functional is PBE.

Values from the calculation:
energy relative to the elements, uncorrected = -2610 meV/atom
SG = F-43m (216)
E = -0.2813 hartree per atom

Cell: 5.9310 5.9310 5.9310 Å, 60.00 60.00 60.00°
Closest atoms and distances in Å follow each position.
Fractional positions:
Sr 0.2500 0.2500 0.2500  12 O 2.97
Eu 0.7500 0.7500 0.7500  12 O 2.97
Dy 0.0000 0.0000 0.0000  6 O 2.20
Sb 0.5000 0.5000 0.5000  6 O 1.99
O 0.2625 0.7375 0.2625  1 Sb 1.99, 1 Dy 2.20
O 0.7375 0.2625 0.7375  1 Sb 1.99, 1 Dy 2.20
O 0.2625 0.7375 0.7375  1 Sb 1.99, 1 Dy 2.20
O 0.7375 0.2625 0.2625  1 Sb 1.99, 1 Dy 2.20
O 0.2625 0.2625 0.7375  1 Sb 1.99, 1 Dy 2.20
O 0.7375 0.7375 0.2625  1 Sb 1.99, 1 Dy 2.20



No. 8
This record from the Alexandria database describes a geometry-optimized NdCl structure. The functional is PBE.

Values from the calculation:
energy relative to the elements, uncorrected = -1311 meV/atom
SG = Pmmn (59)
E = -0.1697 hartree per atom

Cell: 3.5552 5.7053 4.8202 Å, 90.00 90.00 90.00°
Closest atoms and distances in Å follow each position.
Fractional positions:
Nd 0.2500 0.7500 0.1751  6 Cl 2.94-3.01
Nd 0.7500 0.2500 0.8249  6 Cl 2.94-3.01
Cl 0.7502 0.7500 0.6790  6 Nd 2.94-3.01
Cl 0.2498 0.2500 0.3210  6 Nd 2.94-3.01



No. 9
This record from the Alexandria database describes a geometry-optimized YSiSe2 structure. The functional is PBE.

Values from the calculation:
energy relative to the elements, uncorrected = -756 meV/atom
SG = P2/m (10)
E = -0.2010 hartree per atom
energy relative to the lowest polymorph listed for this composition = 0.193 eV per atom

Cell: 3.6663 3.6822 6.7678 Å, 74.48 90.00 90.00°
Closest atoms and distances in Å follow each position.
Fractional positions:
Se 0.0000 0.1336 0.9923  2 Si 2.64
Se 0.0000 0.3664 0.5077  2 Si 2.64
Si 0.5000 0.2500 0.2500  4 Se 2.64
Y 0.5000 0.7500 0.7500  8 Se 3.03-3.05, 2 Si 3.39



No. 10
This record from the Alexandria database describes a geometry-optimized TaAuSe2 structure. The functional is PBE.

Values from the calculation:
energy relative to the elements, uncorrected = -223 meV/atom
SG = C2/m (12)
E = -0.2112 hartree per atom
energy relative to the lowest polymorph listed for this composition = 0.197 eV per atom

Cell: 6.7321 6.7321 4.8821 Å, 76.71 76.71 28.86°
Closest atoms and distances in Å follow each position.
Fractional positions:
Au 0.2500 0.2500 0.2500  2 Se 2.78, 4 Ta 2.96
Se 0.1019 0.1019 0.9248  2 Ta 2.55, 1 Au 2.78
Se 0.3981 0.3981 0.5752  2 Ta 2.55, 1 Au 2.78
Ta 0.7500 0.7500 0.7500  4 Se 2.55